(1)
# PBE NdDyNp, relaxed
data_NdDyNp
_space_group_name_H-M_alt 'F -4 3 m'
_space_group_IT_number 216
_space_group_name_Hall 'F -4 2 3'
_cell_length_a 7.3665
_cell_length_b 7.3665
_cell_length_c 7.3665
_cell_angle_alpha 90.00
_cell_angle_beta 90.00
_cell_angle_gamma 90.00
loop_
_atom_site_label
_atom_site_type_symbol
_atom_site_fract_x
_atom_site_fract_y
_atom_site_fract_z
Nd1 Nd 0.0000 0.0000 0.0000
Dy1 Dy 0.2500 0.2500 0.2500
Np1 Np 0.2500 0.2500 0.7500
# Calculated volume = 399.7 Å³ per cell
# ρ = 9.03 Mg/m³
# Total DFT energy (no corrections) = -6.2313 eV per atom

(2)
# PBE CsThIr, relaxed
data_CsThIr
_space_group_name_H-M_alt 'F -4 3 m'
_space_group_IT_number 216
_space_group_name_Hall 'F -4 2 3'
_cell_length_a 7.2139
_cell_length_b 7.2139
_cell_length_c 7.2139
_cell_angle_alpha 90.00
_cell_angle_beta 90.00
_cell_angle_gamma 90.00
loop_
_atom_site_label
_atom_site_type_symbol
_atom_site_fract_x
_atom_site_fract_y
_atom_site_fract_z
Cs1 Cs 0.0000 0.0000 0.0000
Th1 Th 0.0000 0.0000 0.5000
Ir1 Ir 0.2500 0.2500 0.7500
# Calculated volume = 375.4 Å³ per cell
# ρ = 9.86 Mg/m³
# Total DFT energy (no corrections) = -5.1649 eV per atom

(3)
# PBE Hf2ZrZn, relaxed
data_Hf2ZrZn
_space_group_name_H-M_alt 'P 4 m m'
_space_group_IT_number 99
_cell_length_a 3.1719
_cell_length_b 3.1719
_cell_length_c 8.1854
_cell_angle_alpha 90.00
_cell_angle_beta 90.00
_cell_angle_gamma 90.00
loop_
_space_group_symop_operation_xyz
'x,y,z'
'-y,x,z'
'-x,-y,z'
'y,-x,z'
'-x,y,z'
'y,x,z'
'x,-y,z'
'-y,-x,z'
loop_
_atom_site_label
_atom_site_type_symbol
_atom_site_fract_x
_atom_site_fract_y
_atom_site_fract_z
Hf1 Hf 0.0000 0.0000 0.0000
Hf2 Hf 0.5000 0.5000 0.2628
Zr1 Zr 0.5000 0.5000 0.7242
Zn1 Zn 0.0000 0.0000 0.4900
# Calculated volume = 82.4 Å³ per cell
# ρ = 10.36 Mg/m³
# Total DFT energy (no corrections) = -7.5504 eV per atom

(4)
# PBE ZnGe, relaxed
data_ZnGe
_space_group_name_H-M_alt 'P -6 m 2'
_space_group_IT_number 187
_space_group_name_Hall 'P -6 2'
_cell_length_a 5.8135
_cell_length_b 5.8135
_cell_length_c 4.8201
_cell_angle_alpha 90.00
_cell_angle_beta 90.00
_cell_angle_gamma 120.00
loop_
_atom_site_label
_atom_site_type_symbol
_atom_site_fract_x
_atom_site_fract_y
_atom_site_fract_z
Zn1 Zn 0.0000 0.0000 0.0000
Zn2 Zn 0.1620 0.3239 0.5000
Ge1 Ge 0.0080 0.5040 0.0000
Ge2 Ge 0.6667 0.3333 0.5000
# Calculated volume = 141.1 Å³ per cell
# ρ = 6.50 Mg/m³
# Total DFT energy (no corrections) = -2.7126 eV per atom

(5)
# PBE ZnCuBiPt, relaxed
data_ZnCuBiPt
_space_group_name_H-M_alt 'F -4 3 m'
_space_group_IT_number 216
_space_group_name_Hall 'F -4 2 3'
_cell_length_a 6.5999
_cell_length_b 6.5999
_cell_length_c 6.5999
_cell_angle_alpha 90.00
_cell_angle_beta 90.00
_cell_angle_gamma 90.00
loop_
_atom_site_label
_atom_site_type_symbol
_atom_site_fract_x
_atom_site_fract_y
_atom_site_fract_z
Zn1 Zn 0.0000 0.0000 0.0000
Cu1 Cu 0.2500 0.2500 0.2500
Bi1 Bi 0.0000 0.0000 0.5000
Pt1 Pt 0.2500 0.2500 0.7500
# Calculated volume = 287.5 Å³ per cell
# ρ = 12.32 Mg/m³
# Total DFT energy (no corrections) = -3.7116 eV per atom

(6)
# PBE PrIn2Pt2, relaxed
data_PrIn2Pt2
_space_group_name_H-M_alt 'I 4/m m m'
_space_group_IT_number 139
_space_group_name_Hall '-I 4 2'
_cell_length_a 4.3540
_cell_length_b 4.3540
_cell_length_c 11.9230
_cell_angle_alpha 90.00
_cell_angle_beta 90.00
_cell_angle_gamma 90.00
loop_
_atom_site_label
_atom_site_type_symbol
_atom_site_fract_x
_atom_site_fract_y
_atom_site_fract_z
Pr1 Pr 0.0000 0.0000 0.0000
In1 In 0.0000 0.5000 0.2500
Pt1 Pt 0.0000 0.0000 0.3909
# Calculated volume = 226.0 Å³ per cell
# ρ = 11.18 Mg/m³
# Total DFT energy (no corrections) = -5.2062 eV per atom

(7)
# PBE NaHoHgTe3, relaxed
data_NaHoHgTe3
_space_group_name_H-M_alt 'C 1 2/m 1'
_space_group_IT_number 12
_cell_length_a 20.3697
_cell_length_b 4.3113
_cell_length_c 9.1760
_cell_angle_alpha 90.00
_cell_angle_beta 102.51
_cell_angle_gamma 90.00
loop_
_space_group_symop_operation_xyz
'x,y,z'
'-x,-y,-z'
'-x,y,-z'
'x,-y,z'
'x+1/2,y+1/2,z'
'-x+1/2,-y+1/2,-z'
'-x+1/2,y+1/2,-z'
'x+1/2,-y+1/2,z'
loop_
_atom_site_label
_atom_site_type_symbol
_atom_site_fract_x
_atom_site_fract_y
_atom_site_fract_z
Na1 Na 0.1244 0.0000 0.0793
Ho1 Ho 0.1771 0.0000 0.5885
Hg1 Hg 0.0429 0.5000 0.7240
Te1 Te 0.0000 0.0000 0.5000
Te2 Te 0.0000 0.5000 0.0000
Te3 Te 0.1710 0.5000 0.3525
Te4 Te 0.1845 0.5000 0.8322
# Calculated volume = 786.7 Å³ per cell
# ρ = 6.51 Mg/m³
# Total DFT energy (no corrections) = -3.4035 eV per atom

(8)
# PBE PuZr, relaxed
data_PuZr
_space_group_name_H-M_alt 'P 1 m 1'
_space_group_IT_number 6
_cell_length_a 5.6913
_cell_length_b 5.3266
_cell_length_c 8.4901
_cell_angle_alpha 90.00
_cell_angle_beta 108.99
_cell_angle_gamma 90.00
loop_
_space_group_symop_operation_xyz
'x,y,z'
'x,-y,z'
loop_
_atom_site_label
_atom_site_type_symbol
_atom_site_fract_x
_atom_site_fract_y
_atom_site_fract_z
Pu1 Pu 0.0000 0.0000 0.0000
Pu2 Pu 0.0767 0.5000 0.7895
Pu3 Pu 0.4806 0.5000 0.5907
Pu4 Pu 0.6788 0.5000 0.9944
Pu5 Pu 0.8042 0.0000 0.5965
Zr1 Zr 0.1928 0.0000 0.3945
Zr2 Zr 0.2895 0.5000 0.2010
Zr3 Zr 0.3986 0.0000 0.7998
Zr4 Zr 0.5922 0.0000 0.2028
Zr5 Zr 0.8797 0.5000 0.3810
# Calculated volume = 243.4 Å³ per cell
# ρ = 11.44 Mg/m³
# Total DFT energy (no corrections) = -11.2857 eV per atom

(9)
# PBE TmAg2S2, relaxed
data_TmAg2S2
_space_group_name_H-M_alt 'P -3 m 1'
_space_group_IT_number 164
_space_group_name_Hall '-P 3 2"'
_cell_length_a 3.8639
_cell_length_b 3.8639
_cell_length_c 8.2059
_cell_angle_alpha 90.00
_cell_angle_beta 90.00
_cell_angle_gamma 120.00
loop_
_atom_site_label
_atom_site_type_symbol
_atom_site_fract_x
_atom_site_fract_y
_atom_site_fract_z
Tm1 Tm 0.0000 0.0000 0.0000
Ag1 Ag 0.3333 0.6667 0.3880
S1 S 0.3333 0.6667 0.8175
# Calculated volume = 106.1 Å³ per cell
# ρ = 7.02 Mg/m³
# Total DFT energy (no corrections) = -4.5366 eV per atom

(10)
# PBE Pd3N, relaxed
data_Pd3N
_space_group_name_H-M_alt 'I m -3'
_space_group_IT_number 204
_space_group_name_Hall '-I 2 2 3'
_cell_length_a 7.8033
_cell_length_b 7.8033
_cell_length_c 7.8033
_cell_angle_alpha 90.00
_cell_angle_beta 90.00
_cell_angle_gamma 90.00
loop_
_atom_site_label
_atom_site_type_symbol
_atom_site_fract_x
_atom_site_fract_y
_atom_site_fract_z
Pd1 Pd 0.0000 0.3129 0.1888
N1 N 0.2500 0.2500 0.2500
# Calculated volume = 475.2 Å³ per cell
# ρ = 9.32 Mg/m³
# Total DFT energy (no corrections) = -5.5868 eV per atom

(11)
# PBE HoNbSi, relaxed
data_HoNbSi
_space_group_name_H-M_alt 'F -4 3 m'
_space_group_IT_number 216
_space_group_name_Hall 'F -4 2 3'
_cell_length_a 6.4161
_cell_length_b 6.4161
_cell_length_c 6.4161
_cell_angle_alpha 90.00
_cell_angle_beta 90.00
_cell_angle_gamma 90.00
loop_
_atom_site_label
_atom_site_type_symbol
_atom_site_fract_x
_atom_site_fract_y
_atom_site_fract_z
Ho1 Ho 0.0000 0.0000 0.0000
Nb1 Nb 0.0000 0.0000 0.5000
Si1 Si 0.2500 0.2500 0.2500
# Calculated volume = 264.1 Å³ per cell
# ρ = 7.19 Mg/m³
# Total DFT energy (no corrections) = -6.7949 eV per atom

(12)
# PBE HoTlCoTe3, relaxed
data_HoTlCoTe3
_space_group_name_H-M_alt 'C m c m'
_space_group_IT_number 63
_space_group_name_Hall '-C 2c 2'
_cell_length_a 4.1638
_cell_length_b 15.9735
_cell_length_c 11.1593
_cell_angle_alpha 90.00
_cell_angle_beta 90.00
_cell_angle_gamma 90.00
loop_
_atom_site_label
_atom_site_type_symbol
_atom_site_fract_x
_atom_site_fract_y
_atom_site_fract_z
Ho1 Ho 0.0000 0.0000 0.0000
Tl1 Tl 0.0000 0.2443 0.2500
Co1 Co 0.0000 0.4743 0.7500
Te1 Te 0.0000 0.0731 0.7500
Te2 Te 0.0000 0.3709 0.5723
# Calculated volume = 742.2 Å³ per cell
# ρ = 7.26 Mg/m³
# Total DFT energy (no corrections) = -4.5109 eV per atom

- Which value of total DFT energy (no corrections) does entry 7 give?
  -3.4035 eV per atom